No. 1
The following is a SCAN calculation of a PBEsol-optimized structure of CaAuN2, from Alexandria.

Output
The energy relative to the elements, uncorrected is 0.50 eV per atom. For the energy relative to the lowest polymorph listed for this composition, the calculation gives 0 meV per atom. The space-group type is I-42d (122). The magnetization comes out at 0.00 μB/cell.

Lattice parameters (Å, degrees): 4.7918 4.7918 11.0230 90.00 90.00 90.00
Closest atoms and distances in Å follow each position.
Sites, in units of the cell vectors:
Ca  0.0000  0.0000  0.0000  4 N 2.34
Ca  0.0000  0.5000  0.2500  4 N 2.34
Ca  0.5000  0.0000  0.7500  4 N 2.34
Ca  0.5000  0.5000  0.5000  4 N 2.34
Au  0.0000  0.0000  0.5000  4 N 2.05
Au  0.0000  0.5000  0.7500  4 N 2.05
Au  0.5000  0.0000  0.2500  4 N 2.05
Au  0.5000  0.5000  0.0000  4 N 2.05
N  0.1942  0.2500  0.6250  2 Au 2.05
N  0.2500  0.6942  0.8750  2 Au 2.05
N  0.2500  0.8058  0.3750  2 Au 2.05
N  0.3058  0.2500  0.1250  2 Au 2.05
N  0.6942  0.7500  0.1250  2 Au 2.05
N  0.7500  0.1942  0.3750  2 Au 2.05
N  0.7500  0.3058  0.8750  2 Au 2.05
N  0.8058  0.7500  0.6250  2 Au 2.05

=====

No. 2
The following is a SCAN calculation of a PBEsol-optimized structure of CaNiAu2N, from Alexandria.

Output
The energy relative to the elements, uncorrected is -0.03 eV per atom. The space-group type is P4/mmm (123). The magnetization comes out at 1.21 μB/cell.

Lattice parameters (Å, degrees): 4.9575 4.9575 3.4882 90.00 90.00 90.00
Closest atoms and distances in Å follow each position.
Sites, in units of the cell vectors:
Ca  0.0000  0.0000  0.0000  8 Au 3.03
Ni  0.5000  0.5000  0.5000  2 N 1.74
Au  0.0000  0.5000  0.5000  2 Ni 2.48
Au  0.5000  0.0000  0.5000  2 Ni 2.48
N  0.5000  0.5000  0.0000  2 Ni 1.74

=====

No. 3
The following is a SCAN calculation of a PBEsol-optimized structure of CaTe2AuN, from Alexandria.

Output
The energy relative to the elements, uncorrected is 0.06 eV per atom. The space-group type is P4/mmm (123). The magnetization comes out at 1.72 μB/cell.

Lattice parameters (Å, degrees): 5.6376 5.6376 3.8797 90.00 90.00 90.00
Closest atoms and distances in Å follow each position.
Sites, in units of the cell vectors:
Ca  0.0000  0.0000  0.0000  8 Te 3.42
Te  0.0000  0.5000  0.5000  2 Au 2.82
Te  0.5000  0.0000  0.5000  2 Au 2.82
Au  0.5000  0.5000  0.5000  2 N 1.94
N  0.5000  0.5000  0.0000  2 Au 1.94

=====

No. 4
The following is a SCAN calculation of a PBEsol-optimized structure of CaTeAu2N, from Alexandria.

Output
The energy relative to the elements, uncorrected is 0.06 eV per atom. The space-group type is P4/mmm (123). The magnetization comes out at 0.00 μB/cell.

Lattice parameters (Å, degrees): 4.2251 4.2251 5.8557 90.00 90.00 90.00
Closest atoms and distances in Å follow each position.
Sites, in units of the cell vectors:
Ca  0.0000  0.0000  0.0000  4 Te 2.99
Te  0.5000  0.5000  0.0000  2 N 2.93, 4 Ca 2.99
Au  0.0000  0.5000  0.5000  2 N 2.11
Au  0.5000  0.0000  0.5000  2 N 2.11
N  0.5000  0.5000  0.5000  4 Au 2.11

=====

No. 5
The following is a SCAN calculation of a PBEsol-optimized structure of NaCa3Au, from Alexandria.

Output
The value obtained for the formation energy is -41 kJ/mol of atoms. For the energy relative to the lowest polymorph listed for this composition, the calculation gives 0 meV per atom. The space-group type is Pm-3m (221). The magnetization comes out at 0.00 μB/cell.

Lattice parameters (Å, degrees): 5.7209 5.7209 5.7209 90.00 90.00 90.00
Closest atoms and distances in Å follow each position.
Sites, in units of the cell vectors:
Na  0.0000  0.0000  0.0000  12 Ca 4.05
Ca  0.0000  0.5000  0.5000  2 Au 2.86
Ca  0.5000  0.0000  0.5000  2 Au 2.86
Ca  0.5000  0.5000  0.0000  2 Au 2.86
Au  0.5000  0.5000  0.5000  6 Ca 2.86

=====

No. 6
The following is a SCAN calculation of a PBEsol-optimized structure of NaCa3Au, from Alexandria.

Output
The value obtained for the formation energy is 57 kJ/mol of atoms. For the energy relative to the lowest polymorph listed for this composition, the calculation gives 1015 meV per atom. The space-group type is Pm-3m (221). The magnetization comes out at 0.00 μB/cell.

Lattice parameters (Å, degrees): 5.7232 5.7232 5.7232 90.00 90.00 90.00
Closest atoms and distances in Å follow each position.
Sites, in units of the cell vectors:
Na  0.0000  0.0000  0.0000  6 Ca 2.86
Ca  0.0000  0.0000  0.5000  2 Na 2.86
Ca  0.0000  0.5000  0.0000  2 Na 2.86
Ca  0.5000  0.0000  0.0000  2 Na 2.86
Au  0.5000  0.5000  0.5000  12 Ca 4.05

=====

No. 7
The following is a SCAN calculation of a PBEsol-optimized structure of NaCaTaAu2, from Alexandria.

Output
The value obtained for the formation energy is 119 kJ/mol of atoms. The space-group type is P4/mmm (123). The magnetization comes out at 1.64 μB/cell.

Lattice parameters (Å, degrees): 4.9735 4.9735 4.5308 90.00 90.00 90.00
Closest atoms and distances in Å follow each position.
Sites, in units of the cell vectors:
Na  0.0000  0.0000  0.0000  2 Ca 2.27
Ca  0.0000  0.0000  0.5000  2 Na 2.27, 4 Au 2.49
Ta  0.5000  0.5000  0.0000  8 Au 3.36, 4 Na 3.52
Au  0.0000  0.5000  0.5000  2 Ca 2.49
Au  0.5000  0.0000  0.5000  2 Ca 2.49

=====

No. 8
The following is a SCAN calculation of a PBEsol-optimized structure of CaNb2TlAu, from Alexandria.

Output
The value obtained for the formation energy is 73 kJ/mol of atoms. The space-group type is P4/mmm (123). The magnetization comes out at 1.75 μB/cell.

Lattice parameters (Å, degrees): 4.9933 4.9933 5.3008 90.00 90.00 90.00
Closest atoms and distances in Å follow each position.
Sites, in units of the cell vectors:
Ca  0.0000  0.0000  0.0000  2 Au 2.65
Nb  0.0000  0.5000  0.5000  2 Au 2.50
Nb  0.5000  0.0000  0.5000  2 Au 2.50
Tl  0.5000  0.5000  0.0000  4 Ca 3.53, 8 Nb 3.64
Au  0.0000  0.0000  0.5000  4 Nb 2.50, 2 Ca 2.65